Entry 1:
An optimized crystal structure of CaCuI3. Source: Alexandria, functional PBE.

Lattice parameters (Å, degrees): 8.4397 11.9577 7.5000 90.00 90.00 90.00
Space group Pnma (No. 62)
Symmetry-distinct sites (fractional):
Ca: 0.0000 0.0000 0.0000 x4
Cu: 0.1979 0.2500 0.4517 x4
I: 0.0083 0.2500 0.1681 x4
I: 0.1776 0.0721 0.6503 x8

Output
Formation energy (no corrections) in eV per atom: -0.9583
Uncorrected energy in eV/atom: -3.108
D(E_F) in states/eV/f.u.: 0.0
Distance to the lowest polymorph of the same formula in meV per atom: 7
Magnetic moment in Bohr magnetons per cell: 0.000

=====

Entry 2:
An optimized crystal structure of CaCuI. Source: Alexandria, functional PBE.

Lattice parameters (Å, degrees): 4.3751 4.3751 34.0715 90.00 90.00 120.00
Space group R-3m (No. 166, hexagonal axes)
Symmetry-distinct sites (fractional):
Ca: 0.0000 0.0000 0.0545 x6
Cu: 0.0000 0.0000 0.3332 x6
I: 0.0000 0.0000 0.2248 x6

Output
Formation energy (no corrections) in eV per atom: -0.7913
Uncorrected energy in eV/atom: -3.341
D(E_F) in states/eV/f.u.: 0.7
Magnetic moment in Bohr magnetons per cell: 0.000

=====

Entry 3:
An optimized crystal structure of CaCuI3. Source: Alexandria, functional PBE.

Lattice parameters (Å, degrees): 5.4941 5.4941 5.4941 90.00 90.00 90.00
Space group Pm-3m (No. 221)
Symmetry-distinct sites (fractional):
Ca: 0.0000 0.0000 0.0000 x1
Cu: 0.5000 0.5000 0.5000 x1
I: 0.0000 0.5000 0.5000 x3

Output
Formation energy (no corrections) in eV per atom: -0.5529
Uncorrected energy in eV/atom: -2.703
D(E_F) in states/eV/f.u.: 1.0
Distance to the lowest polymorph of the same formula in meV per atom: 412
Magnetic moment in Bohr magnetons per cell: 0.000

=====

Entry 4:
An optimized crystal structure of CaCuI4. Source: Alexandria, functional PBE.

Lattice parameters (Å, degrees): 7.5657 4.0701 7.8096 90.00 100.86 90.00
Space group P2/m (No. 10)
Symmetry-distinct sites (fractional):
Ca: 0.0000 0.0000 0.0000 x1
Cu: 0.0000 0.5000 0.5000 x1
I: 0.2007 0.0000 0.6636 x2
I: 0.2660 0.5000 0.1927 x2

Output
Formation energy (no corrections) in eV per atom: -0.7720
Uncorrected energy in eV/atom: -2.822
D(E_F) in states/eV/f.u.: 2.7
Magnetic moment in Bohr magnetons per cell: 0.866

=====

Entry 5:
An optimized crystal structure of Ca2CuI. Source: Alexandria, functional PBE.

Lattice parameters (Å, degrees): 4.2527 4.2527 23.7661 90.00 90.00 120.00
Space group R3m (No. 160, hexagonal axes)
Symmetry-distinct sites (fractional):
Ca: 0.0000 0.0000 0.0000 x3
Ca: 0.0000 0.0000 0.2024 x3
Cu: 0.0000 0.0000 0.6007 x3
I: 0.0000 0.0000 0.7695 x3

Output
Formation energy (no corrections) in eV per atom: -0.5657
Uncorrected energy in eV/atom: -2.978
D(E_F) in states/eV/f.u.: 2.1
Distance to the lowest polymorph of the same formula in meV per atom: 0
Magnetic moment in Bohr magnetons per cell: 0.000

=====

Entry 6:
An optimized crystal structure of Ca3CuI. Source: Alexandria, functional PBE.

Lattice parameters (Å, degrees): 5.6514 5.6514 5.6514 90.00 90.00 90.00
Space group Pm-3m (No. 221)
Symmetry-distinct sites (fractional):
Ca: 0.0000 0.0000 0.5000 x3
Cu: 0.0000 0.0000 0.0000 x1
I: 0.5000 0.5000 0.5000 x1

Output
Formation energy (no corrections) in eV per atom: -0.2754
Uncorrected energy in eV/atom: -2.606
D(E_F) in states/eV/f.u.: 3.7
Distance to the lowest polymorph of the same formula in meV per atom: 0
Magnetic moment in Bohr magnetons per cell: 0.000

=====

Entry 7:
An optimized crystal structure of CaCuI3. Source: Alexandria, functional PBE.

Lattice parameters (Å, degrees): 6.0756 6.0756 6.0756 90.00 90.00 90.00
Space group Pm-3m (No. 221)
Symmetry-distinct sites (fractional):
Ca: 0.0000 0.0000 0.0000 x1
Cu: 0.5000 0.5000 0.5000 x1
I: 0.0000 0.0000 0.5000 x3

Output
Formation energy (no corrections) in eV per atom: -0.3284
Uncorrected energy in eV/atom: -2.478
D(E_F) in states/eV/f.u.: 0.3
Distance to the lowest polymorph of the same formula in meV per atom: 636
Magnetic moment in Bohr magnetons per cell: 0.000

=====

Entry 8:
An optimized crystal structure of Ca2CuI. Source: Alexandria, functional PBE.

Lattice parameters (Å, degrees): 7.6997 7.6997 7.6997 90.00 90.00 90.00
Space group Fm-3m (No. 225)
Symmetry-distinct sites (fractional):
Ca: 0.2500 0.2500 0.2500 x8
Cu: 0.0000 0.0000 0.0000 x4
I: 0.0000 0.0000 0.5000 x4

Output
Formation energy (no corrections) in eV per atom: -0.2581
Uncorrected energy in eV/atom: -2.670
D(E_F) in states/eV/f.u.: 5.4
Distance to the lowest polymorph of the same formula in meV per atom: 308
Magnetic moment in Bohr magnetons per cell: 0.000

=====

Entry 9:
An optimized crystal structure of Ca2CuI. Source: Alexandria, functional PBE.

Lattice parameters (Å, degrees): 8.1117 8.1117 7.9266 90.00 90.00 90.00
Space group I-42d (No. 122)
Symmetry-distinct sites (fractional):
Ca: 0.2117 0.2500 0.1250 x8
Cu: 0.0000 0.0000 0.0000 x4
I: 0.0000 0.0000 0.5000 x4

Output
Formation energy (no corrections) in eV per atom: -0.3479
Uncorrected energy in eV/atom: -2.760
D(E_F) in states/eV/f.u.: 0.4
Distance to the lowest polymorph of the same formula in meV per atom: 218
Magnetic moment in Bohr magnetons per cell: 0.000

=====

Entry 10:
An optimized crystal structure of CaCuI2. Source: Alexandria, functional PBE.

Lattice parameters (Å, degrees): 4.2217 4.2217 27.3263 90.00 90.00 120.00
Space group R-3m (No. 166, hexagonal axes)
Symmetry-distinct sites (fractional):
Ca: 0.0000 0.0000 0.0000 x3
Cu: 0.0000 0.0000 0.5000 x3
I: 0.0000 0.0000 0.1107 x6

Output
Formation energy (no corrections) in eV per atom: -0.3208
Uncorrected energy in eV/atom: -2.620
D(E_F) in states/eV/f.u.: 1.1
Distance to the lowest polymorph of the same formula in meV per atom: 121
Magnetic moment in Bohr magnetons per cell: 0.000

=====

Entry 11:
An optimized crystal structure of CaCuI3. Source: Alexandria, functional PBE.

Lattice parameters (Å, degrees): 16.1944 13.3001 7.8608 90.00 117.64 90.00
Space group C2/c (No. 15)
Symmetry-distinct sites (fractional):
Ca: 0.0000 0.0939 0.2500 x4
Ca: 0.0000 0.2678 0.7500 x4
Cu: 0.1782 0.4211 0.0954 x8
I: 0.1217 0.0846 0.7016 x8
I: 0.1249 0.2545 0.1951 x8
I: 0.1431 0.4201 0.7434 x8

Output
Formation energy (no corrections) in eV per atom: -0.9648
Uncorrected energy in eV/atom: -3.114
D(E_F) in states/eV/f.u.: 0.0
Distance to the lowest polymorph of the same formula in meV per atom: 0
Magnetic moment in Bohr magnetons per cell: 0.000

=====

Entry 12:
An optimized crystal structure of Ca2CuI. Source: Alexandria, functional PBE.

Lattice parameters (Å, degrees): 4.2014 4.2014 24.2444 90.00 90.00 120.00
Space group R-3m (No. 166, hexagonal axes)
Symmetry-distinct sites (fractional):
Ca: 0.0000 0.0000 0.2335 x6
Cu: 0.0000 0.0000 0.5000 x3
I: 0.0000 0.0000 0.0000 x3

Output
Formation energy (no corrections) in eV per atom: -0.5633
Uncorrected energy in eV/atom: -2.976
D(E_F) in states/eV/f.u.: 1.9
Distance to the lowest polymorph of the same formula in meV per atom: 2
Magnetic moment in Bohr magnetons per cell: 0.000